This record from Alexandria describes a relaxed structure of TiCd3Ga. The functional is PBE-GGA.

Cell: 5.417 5.417 5.417 Å, 90.00 90.00 90.00°
Space group Pm-3m (No. 221)
One atom of each set of equivalent atoms:
Ti 0.000 0.000 0.000
Cd 0.000 0.000 0.500
Ga 0.500 0.500 0.500

Values from the calculation:
energy above the most stable polymorph in this dataset = 66 meV/atom
energy of formation = 760 meV per atom
magnetic moment = 0.62 μB per atom


This record from Alexandria describes a relaxed structure of BaSb2TePt. The functional is PBE-GGA.

Cell: 6.251 6.251 6.218 Å, 90.00 90.00 90.00°
Space group P4/mmm (No. 123)
One atom of each set of equivalent atoms:
Ba 0.000 0.000 0.000
Sb 0.000 0.500 0.000
Te 0.000 0.000 0.500
Pt 0.500 0.500 0.500

Values from the calculation:
energy above the most stable polymorph in this dataset = 1873 meV/atom
formation energy (no corrections) = 1.468 eV/atom
magnetic moment = 0.06 μB per atom


This record from Alexandria describes a relaxed structure of CaAc12Y6. The functional is PBE-GGA.

Cell: 16.2564 16.2564 11.1846 Å, 90.00 90.00 120.00°
Space group R-3m (No. 166, hexagonal axes)
One atom of each set of equivalent atoms:
Ca 0.0000 0.0000 0.0000
Ac 0.0000 0.3833 0.5000
Ac 0.0775 0.1549 0.2937
Y 0.0641 0.5320 0.2282

Values from the calculation:
energy of formation = 402 meV per atom
magnetic moment = 0.00 μB per atom


This record from Alexandria describes a relaxed structure of CdCo2C. The functional is PBE-GGA.

Cell: 5.771 5.771 5.771 Å, 90.00 90.00 90.00°
Space group Fm-3m (No. 225)
One atom of each set of equivalent atoms:
Cd 0.000 0.000 0.000
Co 0.250 0.250 0.250
C 0.000 0.000 0.500

Values from the calculation:
energy above the most stable polymorph in this dataset = 1049 meV/atom
energy of formation = 1438 meV per atom
magnetic moment = 0.60 μB per atom


This record from Alexandria describes a relaxed structure of TaTl3Pt. The functional is PBE-GGA.

Cell: 5.419 5.419 5.419 Å, 90.00 90.00 90.00°
Space group Pm-3m (No. 221)
One atom of each set of equivalent atoms:
Ta 0.000 0.000 0.000
Tl 0.000 0.000 0.500
Pt 0.500 0.500 0.500

Values from the calculation:
energy of formation = 1245 meV per atom
magnetic moment = 0.00 μB per atom


This record from Alexandria describes a relaxed structure of Nd6Se3S2. The functional is PBE-GGA.

Cell: 4.1230 4.1230 61.0354 Å, 90.00 90.00 120.00°
Space group R-3m (No. 166, hexagonal axes)
One atom of each set of equivalent atoms:
Nd 0.0000 0.0000 0.0892
Nd 0.0000 0.0000 0.1923
Nd 0.0000 0.0000 0.3617
Se 0.0000 0.0000 0.0000
Se 0.0000 0.0000 0.2747
S 0.0000 0.0000 0.4484

Values from the calculation:
formation energy (no corrections) = -1.710 eV/atom
magnetic moment = 0.08 μB per atom


What is the magnetic moment in the first record?
0.62 μB per atom